Material: Pm5NdSi3
Method: DFT, GGA-PBE
State: optimized geometry

Results
**Total moment**: 8.60 μB per cell
**Crystal system**: monoclinic
**DOS(E_F)**: 16.07 states/eV/cell
**VASP energy**: -5.233 eV per atom
**E_form (uncorrected)**: -2.308 eV/f.u.
**SG**: C2/m, No. 12

Unit cell a=8.1349 b=8.1349 c=10.6557 alpha=108.82 beta=108.82 gamma=72.98
Atoms (fractional coordinates):
Pm  0.0691  0.0691  0.3683
Pm  0.1336  0.5340  0.3328
Pm  0.2001  0.7999  0.0000
Pm  0.2669  0.2669  0.9677
Pm  0.4660  0.8664  0.6672
Pm  0.5340  0.1336  0.3328
Pm  0.7331  0.7331  0.0323
Pm  0.7999  0.2001  0.0000
Pm  0.8664  0.4660  0.6672
Pm  0.9309  0.9309  0.6317
Nd  0.3982  0.3982  0.6987
Nd  0.6018  0.6018  0.3013
Si  0.1642  0.1642  0.6684
Si  0.1667  0.1667  0.1667
Si  0.5000  0.5000  0.0000
Si  0.5000  0.5000  0.5000
Si  0.8333  0.8333  0.8333
Si  0.8358  0.8358  0.3316

---

Material: TbSm2Tm3
Method: DFT, GGA-PBE
State: optimized geometry

Results
**Total moment**: 0.00 μB per cell
**Crystal system**: monoclinic
**DOS(E_F)**: 18.24 states/eV/cell
**VASP energy**: -4.457 eV per atom
**SG**: C2/m, No. 12

Unit cell a=11.6768 b=11.6768 c=10.1515 alpha=108.19 beta=108.19 gamma=17.14
Atoms (fractional coordinates):
Tb  0.1886  0.1886  0.0375
Tb  0.8114  0.8114  0.9625
Sm  0.1908  0.1908  0.3718
Sm  0.4310  0.4310  0.8657
Sm  0.5690  0.5690  0.1343
Sm  0.8092  0.8092  0.6282
Tm  0.0583  0.0583  0.4439
Tm  0.1947  0.1947  0.7149
Tm  0.4300  0.4300  0.2377
Tm  0.5700  0.5700  0.7623
Tm  0.8053  0.8053  0.2851
Tm  0.9417  0.9417  0.5561

---

Material: Tm2Be2AlCo5
Method: DFT, GGA-PBE
State: optimized geometry

Results
**Total moment**: 0.19 μB per cell
**Crystal system**: tetragonal
**DOS(E_F)**: 18.12 states/eV/cell
**VASP energy**: -5.861 eV per atom
**SG**: P4/mbm, No. 127

Unit cell a=9.0868 b=9.0868 c=3.0927 alpha=90.00 beta=90.00 gamma=90.00
Atoms (fractional coordinates):
Tm  0.1782  0.3218  0.0000
Tm  0.3218  0.8218  0.0000
Tm  0.6782  0.1782  0.0000
Tm  0.8218  0.6782  0.0000
Be  0.1183  0.6183  0.0000
Be  0.3817  0.1183  0.0000
Be  0.6183  0.8817  0.0000
Be  0.8817  0.3817  0.0000
Al  0.0000  0.0000  0.0000
Al  0.5000  0.5000  0.0000
Co  0.0000  0.5000  0.5000
Co  0.0646  0.7848  0.5000
Co  0.2152  0.0646  0.5000
Co  0.2848  0.5646  0.5000
Co  0.4354  0.2848  0.5000
Co  0.5000  0.0000  0.5000
Co  0.5646  0.7152  0.5000
Co  0.7152  0.4354  0.5000
Co  0.7848  0.9354  0.5000
Co  0.9354  0.2152  0.5000